Computed, not measured: a geometry-optimized TmPd3O6 structure at the GGA-PBE level of DFT.

Cell lengths 7.0836, 10.0792, 3.4483 Å; angles 90.00, 90.00, 90.00 degrees
Closest atoms and distances in Å follow each position.
Space group Cmmm (No. 65)
Symmetry-distinct sites (fractional):
1 Tm 0.0000 0.0000 0.0000 x2  8 O 2.28-2.41
2 Pd 0.0000 0.5000 0.0000 x2  4 O 1.99
3 Pd 0.2500 0.2500 0.5000 x4  6 O 2.05-2.13
4 O 0.0000 0.1485 0.5000 x4  2 Pd 2.05, 2 Tm 2.28
5 O 0.2129 0.3712 0.0000 x8  3 Pd 1.99-2.13

Values from the calculation:
E_form (uncorrected), eV per atom: -1.23
Calculated total energy, eV/atom: -6.206